The following is a DFT calculation (GGA-PBE) of an optimized crystal structure of Rb2Sr2Cd. Values from VASP.

Geometry as Quantum ESPRESSO input:
```
&SYSTEM
  ibrav = 0, nat = 10, ntyp = 3
/
ATOMIC_SPECIES
Sr 87.62 Sr.upf
Rb 85.47 Rb.upf
Cd 112.41 Cd.upf
ATOMIC_POSITIONS angstrom
Sr 2.985 7.461 0.000
Sr 7.461 5.968 0.000
Sr 5.968 1.492 0.000
Sr 1.492 2.985 0.000
Rb 1.568 6.045 3.820
Rb 6.045 7.385 3.820
Rb 7.385 2.908 3.820
Rb 2.908 1.568 3.820
Cd 0.000 0.000 0.000
Cd 4.476 4.476 0.000
CELL_PARAMETERS angstrom
8.953 0.000 0.000
0.000 8.953 0.000
0.000 0.000 7.640
```

Summary:
Total magnetic moment: 0.00 μB per formula unit
Total energy: -1.1501 eV per atom
Density of states at the Fermi level: 0.95 states/eV/atom
Calculated formation energy: 93 meV per atom